This record from the Alexandria database describes a relaxed structure of Pr2NiO4. The functional is PBE+U.

Output
**Distance to the lowest polymorph of the same formula**: 0.025 eV/atom
**SG**: I4/mmm

```
Pr2NiO4
1.0
-1.941 1.941 6.226
1.941 -1.941 6.226
1.941 1.941 -6.226
Pr O Ni
2 4 1
Cartesian
0.000 0.000 4.536
0.000 0.000 7.915
0.000 0.000 2.215
1.941 0.000 0.000
0.000 0.000 10.236
0.000 1.941 0.000
0.000 0.000 0.000
```